Entry 1:
## Pm2Si3Ir5 (PBE)

Data for a geometry-optimized Pm2Si3Ir5 structure.

V in Å³/cell: 707
E_tot in eV per atom: -7.91
Crystal system: orthorhombic

Cell and atoms, written as CIF:
```
data_Pm2Si3Ir5
_chemical_formula_sum 'Pm8 Si12 Ir20'
_cell_length_a 9.6125
_cell_length_b 12.7093
_cell_length_c 5.7893
_cell_angle_alpha 90.00
_cell_angle_beta 90.00
_cell_angle_gamma 90.00
_symmetry_space_group_name_H-M 'I b a m'
_symmetry_Int_Tables_number 72
_symmetry_space_group_name_Hall '-I 2 2c'
loop_
_atom_site_label
_atom_site_type_symbol
_atom_site_fract_x
_atom_site_fract_y
_atom_site_fract_z
Pm1 Pm 0.2362 0.1311 0.0000
Si1 Si 0.0000 0.0000 0.2500
Si2 Si 0.1378 0.3893 0.0000
Ir1 Ir 0.0000 0.2785 0.2500
Ir2 Ir 0.0000 0.5000 0.2500
Ir3 Ir 0.1172 0.1221 0.5000
```

***

Entry 2:
## Pm4SiIr3 (PBE)

Data for a geometry-optimized Pm4SiIr3 structure.

V in Å³/cell: 187
E_tot in eV per atom: -7.09
Crystal system: orthorhombic

Cell and atoms, written as CIF:
```
data_Pm4SiIr3
_chemical_formula_sum 'Pm4 Si1 Ir3'
_cell_length_a 4.1770
_cell_length_b 4.1793
_cell_length_c 10.7325
_cell_angle_alpha 90.00
_cell_angle_beta 90.00
_cell_angle_gamma 90.00
_symmetry_space_group_name_H-M 'P m m 2'
_symmetry_Int_Tables_number 25
loop_
_symmetry_equiv_pos_as_xyz
'x,y,z'
'-x,-y,z'
'-x,y,z'
'x,-y,z'
loop_
_atom_site_label
_atom_site_type_symbol
_atom_site_fract_x
_atom_site_fract_y
_atom_site_fract_z
Pm1 Pm 0.0000 0.0000 0.0000
Pm2 Pm 0.0000 0.5000 0.4948
Pm3 Pm 0.5000 0.0000 0.7099
Pm4 Pm 0.5000 0.5000 0.2087
Si1 Si 0.0000 0.5000 0.7909
Ir1 Ir 0.0000 0.0000 0.2756
Ir2 Ir 0.5000 0.0000 0.4356
Ir3 Ir 0.5000 0.5000 0.9183
```

***

Entry 3:
## Pm4Si6Ir7 (PBE)

Data for a geometry-optimized Pm4Si6Ir7 structure.

V in Å³/cell: 596
E_tot in eV per atom: -7.59
Crystal system: cubic

Cell and atoms, written as CIF:
```
data_Pm4Si6Ir7
_chemical_formula_sum 'Pm8 Si12 Ir14'
_cell_length_a 8.4173
_cell_length_b 8.4173
_cell_length_c 8.4173
_cell_angle_alpha 90.00
_cell_angle_beta 90.00
_cell_angle_gamma 90.00
_symmetry_space_group_name_H-M 'I m -3 m'
_symmetry_Int_Tables_number 229
_symmetry_space_group_name_Hall '-I 4 2 3'
loop_
_atom_site_label
_atom_site_type_symbol
_atom_site_fract_x
_atom_site_fract_y
_atom_site_fract_z
Pm1 Pm 0.2500 0.2500 0.2500
Si1 Si 0.0000 0.0000 0.3319
Ir1 Ir 0.0000 0.0000 0.0000
Ir2 Ir 0.0000 0.2500 0.5000
```

***

Entry 4:
## Pm3SiIr2 (PBE)

Data for a geometry-optimized Pm3SiIr2 structure.

V in Å³/cell: 577
E_tot in eV per atom: -6.97
Crystal system: orthorhombic

Cell and atoms, written as CIF:
```
data_Pm3SiIr2
_chemical_formula_sum 'Pm12 Si4 Ir8'
_cell_length_a 11.6601
_cell_length_b 4.0222
_cell_length_c 12.2928
_cell_angle_alpha 90.00
_cell_angle_beta 90.00
_cell_angle_gamma 90.00
_symmetry_space_group_name_H-M 'P n m a'
_symmetry_Int_Tables_number 62
loop_
_symmetry_equiv_pos_as_xyz
'x,y,z'
'-x,-y,-z'
'-x+1/2,-y,z+1/2'
'x+1/2,y,-z+1/2'
'x+1/2,-y+1/2,-z+1/2'
'-x+1/2,y+1/2,z+1/2'
'-x,y+1/2,-z'
'x,-y+1/2,z'
loop_
_atom_site_label
_atom_site_type_symbol
_atom_site_fract_x
_atom_site_fract_y
_atom_site_fract_z
Pm1 Pm 0.0608 0.2500 0.1163
Pm2 Pm 0.1288 0.7500 0.5529
Pm3 Pm 0.1948 0.2500 0.8028
Si1 Si 0.1240 0.2500 0.3584
Ir1 Ir 0.0258 0.7500 0.3165
Ir2 Ir 0.1932 0.7500 0.9739
```